This record from the Open Quantum Materials Database describes a relaxed Fe3Si crystal. The functional is PBE.

POSCAR file:
```
Fe3Si
1.0
3.549 0.000 0.000
0.000 3.549 0.000
0.000 0.000 7.064
Fe Si
6 2
Cartesian
0.000 0.000 0.000
0.000 1.775 1.766
0.000 1.775 5.298
1.775 0.000 1.766
1.775 0.000 5.298
1.775 1.775 3.532
0.000 0.000 3.532
1.775 1.775 0.000
```

VASP energy = -7.832 eV per atom
density = 7.30 Mg/m³

=====

This record from the Open Quantum Materials Database describes a relaxed AcLuNO crystal. The functional is PBE.

POSCAR file:
```
AcLuNO
1.0
4.403 0.000 0.000
0.000 4.403 0.000
0.000 0.000 8.964
Ac Lu N O
2 2 2 2
Cartesian
1.101 1.101 1.175
3.303 3.303 7.789
1.101 3.303 4.482
3.303 1.101 4.482
1.101 1.101 3.910
3.303 3.303 5.055
1.101 3.303 0.000
3.303 1.101 0.000
```

VASP energy = -7.564 eV per atom
density = 8.25 Mg/m³
ΔE to the lowest computed polymorph = 0.000 eV/atom

=====

This record from the Open Quantum Materials Database describes a relaxed YFeCuSi crystal. The functional is PBE.

POSCAR file:
```
YFeCuSi
1.0
6.283 0.000 0.000
0.000 6.283 0.000
0.000 0.000 6.283
Y Fe Cu Si
4 4 4 4
Cartesian
0.000 0.000 0.000
0.000 3.141 3.141
3.141 0.000 3.141
3.141 3.141 0.000
1.571 1.571 1.571
1.571 4.712 4.712
4.712 1.571 4.712
4.712 4.712 1.571
1.571 1.571 4.712
1.571 4.712 1.571
4.712 1.571 1.571
4.712 4.712 4.712
0.000 0.000 3.141
0.000 3.141 0.000
3.141 0.000 0.000
3.141 3.141 3.141
```

VASP energy = -6.031 eV per atom
density = 6.33 Mg/m³
ΔE to the lowest computed polymorph = 0.000 eV/atom

=====

This record from the Open Quantum Materials Database describes a relaxed AgHg2Os crystal. The functional is PBE.

POSCAR file:
```
AgHg2Os
1.0
6.653 0.000 0.000
0.000 6.653 0.000
0.000 0.000 6.653
Ag Hg Os
4 8 4
Cartesian
0.000 0.000 0.000
0.000 3.327 3.327
3.327 0.000 3.327
3.327 3.327 0.000
0.000 0.000 3.327
0.000 3.327 0.000
1.663 1.663 1.663
1.663 4.990 4.990
3.327 0.000 0.000
3.327 3.327 3.327
4.990 1.663 4.990
4.990 4.990 1.663
1.663 1.663 4.990
1.663 4.990 1.663
4.990 1.663 1.663
4.990 4.990 4.990
```

energy of formation = 0.903 eV/atom
VASP energy = -2.759 eV per atom
density = 15.77 Mg/m³

=====

This record from the Open Quantum Materials Database describes a relaxed PrSnAs crystal. The functional is PBE.

POSCAR file:
```
PrSnAs
1.0
7.089 0.000 0.000
0.000 7.089 0.000
0.000 0.000 7.089
Pr Sn As
4 4 4
Cartesian
0.000 0.000 0.000
0.000 3.544 3.544
3.544 0.000 3.544
3.544 3.544 0.000
0.000 0.000 3.544
0.000 3.544 0.000
3.544 0.000 0.000
3.544 3.544 3.544
1.772 1.772 1.772
1.772 5.317 5.317
5.317 1.772 5.317
5.317 5.317 1.772
```

VASP energy = -4.988 eV per atom
density = 6.24 Mg/m³

=====

This record from the Open Quantum Materials Database describes a relaxed HfFeReGe crystal. The functional is PBE.

POSCAR file:
```
HfFeReGe
1.0
6.208 0.000 0.000
0.000 6.208 0.000
0.000 0.000 6.208
Hf Fe Re Ge
4 4 4 4
Cartesian
0.000 0.000 0.000
0.000 3.104 3.104
3.104 0.000 3.104
3.104 3.104 0.000
1.552 1.552 4.656
1.552 4.656 1.552
4.656 1.552 1.552
4.656 4.656 4.656
1.552 1.552 1.552
1.552 4.656 4.656
4.656 1.552 4.656
4.656 4.656 1.552
0.000 0.000 3.104
0.000 3.104 0.000
3.104 0.000 0.000
3.104 3.104 3.104
```

VASP energy = -8.897 eV per atom
density = 13.69 Mg/m³
ΔE to the lowest computed polymorph = 0.000 eV/atom

=====

This record from the Open Quantum Materials Database describes a relaxed CuReBPt crystal. The functional is PBE.

POSCAR file:
```
CuReBPt
1.0
5.887 0.000 0.000
0.000 5.887 0.000
0.000 0.000 5.887
Cu Re B Pt
4 4 4 4
Cartesian
0.000 0.000 0.000
0.000 2.944 2.944
2.944 0.000 2.944
2.944 2.944 0.000
0.000 0.000 2.944
0.000 2.944 0.000
2.944 0.000 0.000
2.944 2.944 2.944
1.472 1.472 4.415
1.472 4.415 1.472
4.415 1.472 1.472
4.415 4.415 4.415
1.472 1.472 1.472
1.472 4.415 4.415
4.415 1.472 4.415
4.415 4.415 1.472
```

VASP energy = -6.534 eV per atom
density = 14.83 Mg/m³
ΔE to the lowest computed polymorph = 0.000 eV/atom

=====

This record from the Open Quantum Materials Database describes a relaxed Ho3S2O crystal. The functional is PBE.

POSCAR file:
```
Ho3S2O
1.0
3.670 0.000 0.000
-1.835 3.178 0.000
0.000 0.000 9.337
Ho S O
3 2 1
Cartesian
0.000 0.000 0.000
0.000 2.119 3.383
1.835 1.059 5.954
0.000 2.119 7.631
1.835 1.059 1.706
0.000 0.000 4.668
```

VASP energy = -6.669 eV per atom
density = 8.77 Mg/m³

=====

This record from the Open Quantum Materials Database describes a relaxed DyTa2Ag2 crystal. The functional is PBE.

POSCAR file:
```
DyTa2Ag2
1.0
1.690 -6.783 0.000
1.690 6.783 0.000
0.000 0.000 9.164
Dy Ta Ag
2 4 4
Cartesian
1.690 5.713 6.873
1.690 -5.713 2.291
1.690 3.493 1.029
1.690 3.493 3.552
1.690 -3.493 5.611
1.690 -3.493 8.134
1.690 1.102 5.353
1.690 1.102 8.393
1.690 -1.102 0.771
1.690 -1.102 3.811
```

energy of formation = 0.375 eV/atom
VASP energy = -6.416 eV per atom
density = 11.70 Mg/m³

=====

This record from the Open Quantum Materials Database describes a relaxed AgGeSO crystal. The functional is PBE.

POSCAR file:
```
AgGeSO
1.0
4.640 0.000 0.000
0.000 4.640 0.000
0.000 0.000 7.727
Ag Ge S O
2 2 2 2
Cartesian
1.160 1.160 0.924
3.480 3.480 6.803
1.160 1.160 4.953
3.480 3.480 2.773
1.160 3.480 0.000
3.480 1.160 0.000
1.160 1.160 3.270
3.480 3.480 4.456
```

VASP energy = -4.317 eV per atom
density = 4.56 Mg/m³
ΔE to the lowest computed polymorph = 0.361 eV/atom

=====

This record from the Open Quantum Materials Database describes a relaxed GdSb2 crystal. The functional is PBE.

POSCAR file:
```
GdSb2
1.0
0.000 6.851 6.851
6.851 0.000 6.851
6.851 6.851 0.000
Gd Sb
2 4
Cartesian
1.713 1.713 1.713
11.990 11.990 11.990
0.000 0.000 0.000
3.426 3.426 0.000
3.426 0.000 3.426
0.000 3.426 3.426
```

VASP energy = -3.654 eV per atom
density = 2.07 Mg/m³

=====

This record from the Open Quantum Materials Database describes a relaxed ScAgSO crystal. The functional is PBE.

POSCAR file:
```
ScAgSO
1.0
5.376 0.000 0.000
0.000 5.374 0.000
-0.206 0.000 10.371
Sc Ag S O
4 4 4 4
Cartesian
-0.005 0.000 0.944
2.487 5.372 9.417
2.683 2.685 0.953
5.175 2.687 9.427
0.833 1.422 5.162
2.537 2.742 7.326
2.633 0.054 3.045
4.337 4.109 5.209
0.888 1.135 7.522
0.985 1.660 2.802
4.185 4.347 7.569
4.282 3.822 2.849
1.338 4.027 0.002
1.161 1.335 10.361
4.009 4.022 0.010
3.832 1.340 10.369
```

VASP energy = -6.366 eV per atom
density = 4.45 Mg/m³
ΔE to the lowest computed polymorph = 0.000 eV/atom

=====

Volume in A^3/atom, matching the order above: 11.12, 21.73, 15.50, 18.41, 29.69, 14.95, 12.75, 18.15, 21.01, 20.80, 107.21, 18.73